Below is crystalline GdCd4Rh at its relaxed geometry, with properties calculated at the PBE-GGA level.

Summary:
The value obtained for the formation energy is -156 meV/atom. Its uncorrected energy is -4.3378 eV per atom.

Unit cell a=5.637 b=5.637 c=5.637 alpha=60.00 beta=60.00 gamma=60.00
Fractional coordinates of all 6 atoms:
Gd 0.000 0.000 0.000
Cd 0.376 0.376 0.376
Cd 0.376 0.376 0.872
Cd 0.376 0.872 0.376
Cd 0.872 0.376 0.376
Rh 0.750 0.750 0.750

Below is crystalline Gd2CdRh at its relaxed geometry, with properties calculated at the PBE-GGA level.

Summary:
The excess energy over the best structure of this formula in the dataset is 0.41 eV per formula unit. The value obtained for the formation energy is -475 meV/atom. Its uncorrected energy is -9.5820 eV per atom.

Unit cell a=8.410 b=8.410 c=8.410 alpha=27.14 beta=27.14 gamma=27.14
Fractional coordinates of all 4 atoms:
Gd 0.233 0.233 0.233
Gd 0.767 0.767 0.767
Cd 0.000 0.000 0.000
Rh 0.500 0.500 0.500

Below is crystalline GdScCdRh at its relaxed geometry, with properties calculated at the PBE-GGA level.

Summary:
The value obtained for the formation energy is -491 meV/atom. Its uncorrected energy is -7.6607 eV per atom.

Unit cell a=4.951 b=4.951 c=4.951 alpha=60.00 beta=60.00 gamma=60.00
Fractional coordinates of all 4 atoms:
Gd 0.000 0.000 0.000
Sc 0.500 0.500 0.500
Cd 0.250 0.250 0.250
Rh 0.750 0.750 0.750

Below is crystalline SmGdCdRh at its relaxed geometry, with properties calculated at the PBE-GGA level.

Summary:
The value obtained for the formation energy is -478 meV/atom. Its uncorrected energy is -7.2443 eV per atom.

Unit cell a=5.135 b=5.135 c=5.135 alpha=60.00 beta=60.00 gamma=60.00
Fractional coordinates of all 4 atoms:
Sm 0.000 0.000 0.000
Gd 0.500 0.500 0.500
Cd 0.250 0.250 0.250
Rh 0.750 0.750 0.750

Below is crystalline SrGdCdRh at its relaxed geometry, with properties calculated at the PBE-GGA level.

Summary:
The value obtained for the formation energy is -290 meV/atom. Its uncorrected energy is -6.2971 eV per atom.

Unit cell a=5.228 b=5.228 c=5.228 alpha=60.00 beta=60.00 gamma=60.00
Fractional coordinates of all 4 atoms:
Sr 0.000 0.000 0.000
Gd 0.500 0.500 0.500
Cd 0.250 0.250 0.250
Rh 0.750 0.750 0.750

Below is crystalline GdTlCdRh at its relaxed geometry, with properties calculated at the PBE-GGA level.

Summary:
The value obtained for the formation energy is -240 meV/atom. Its uncorrected energy is -6.4185 eV per atom.

Unit cell a=4.992 b=4.992 c=4.992 alpha=60.00 beta=60.00 gamma=60.00
Fractional coordinates of all 4 atoms:
Gd 0.000 0.000 0.000
Tl 0.750 0.750 0.750
Cd 0.500 0.500 0.500
Rh 0.250 0.250 0.250

Below is crystalline GdYCdRh at its relaxed geometry, with properties calculated at the PBE-GGA level.

Summary:
The value obtained for the formation energy is -512 meV/atom. Its uncorrected energy is -7.7152 eV per atom.

Unit cell a=5.088 b=5.088 c=5.088 alpha=60.00 beta=60.00 gamma=60.00
Fractional coordinates of all 4 atoms:
Gd 0.000 0.000 0.000
Y 0.500 0.500 0.500
Cd 0.250 0.250 0.250
Rh 0.750 0.750 0.750

Below is crystalline GdZnCdRh at its relaxed geometry, with properties calculated at the PBE-GGA level.

Summary:
The value obtained for the formation energy is -351 meV/atom. Its uncorrected energy is -6.2567 eV per atom.

Unit cell a=4.806 b=4.806 c=4.806 alpha=60.00 beta=60.00 gamma=60.00
Fractional coordinates of all 4 atoms:
Gd 0.000 0.000 0.000
Zn 0.750 0.750 0.750
Cd 0.500 0.500 0.500
Rh 0.250 0.250 0.250

Below is crystalline GdZrCdRh at its relaxed geometry, with properties calculated at the PBE-GGA level.

Summary:
The value obtained for the formation energy is -324 meV/atom. Its uncorrected energy is -8.0479 eV per atom.

Unit cell a=4.963 b=4.963 c=4.963 alpha=60.00 beta=60.00 gamma=60.00
Fractional coordinates of all 4 atoms:
Gd 0.000 0.000 0.000
Zr 0.500 0.500 0.500
Cd 0.750 0.750 0.750
Rh 0.250 0.250 0.250

Below is crystalline Gd3CdRu at its relaxed geometry, with properties calculated at the PBE-GGA level.

Summary:
The value obtained for the formation energy is -149 meV/atom. Its uncorrected energy is -10.6360 eV per atom.

Unit cell a=5.365 b=5.365 c=5.365 alpha=90.00 beta=90.00 gamma=90.00
Fractional coordinates of all 5 atoms:
Gd 0.000 0.000 0.500
Gd 0.000 0.500 0.000
Gd 0.500 0.000 0.000
Cd 0.500 0.500 0.500
Ru 0.000 0.000 0.000

Below is crystalline Gd2CdRu at its relaxed geometry, with properties calculated at the PBE-GGA level.

Summary:
The excess energy over the best structure of this formula in the dataset is 0.00 eV per formula unit. The value obtained for the formation energy is -358 meV/atom. Its uncorrected energy is -9.9464 eV per atom.

Unit cell a=3.478 b=3.478 c=7.842 alpha=90.00 beta=90.00 gamma=90.00
Fractional coordinates of all 4 atoms:
Gd 0.000 0.000 0.215
Gd 0.000 0.000 0.785
Cd 0.500 0.500 0.500
Ru 0.500 0.500 0.000

Below is crystalline Gd2CdRu at its relaxed geometry, with properties calculated at the PBE-GGA level.

Summary:
The excess energy over the best structure of this formula in the dataset is 0.78 eV per formula unit. The value obtained for the formation energy is -164 meV/atom. Its uncorrected energy is -9.7519 eV per atom.

Unit cell a=8.609 b=8.609 c=8.609 alpha=25.98 beta=25.98 gamma=25.98
Fractional coordinates of all 4 atoms:
Gd 0.232 0.232 0.232
Gd 0.768 0.768 0.768
Cd 0.000 0.000 0.000
Ru 0.500 0.500 0.500

Copy entry 10 word for word.
Below is crystalline Gd3CdRu at its relaxed geometry, with properties calculated at the PBE-GGA level.

Summary:
The value obtained for the formation energy is -149 meV/atom. Its uncorrected energy is -10.6360 eV per atom.

Unit cell a=5.365 b=5.365 c=5.365 alpha=90.00 beta=90.00 gamma=90.00
Fractional coordinates of all 5 atoms:
Gd 0.000 0.000 0.500
Gd 0.000 0.500 0.000
Gd 0.500 0.000 0.000
Cd 0.500 0.500 0.500
Ru 0.000 0.000 0.000

Question: The highest uncorrected energy belongs to which entry?
Answer: GdCd4Rh

Question: Which formula does entry 9 have?
Answer: GdZrCdRh

Question: Look up the uncorrected energy of the second one.
Answer: -9.5820 eV per atom